1.
Material: TcTeRu
Method: DFT, PBE-GGA
State: relaxed

Summary:
The calculation puts the size of the total moment at 0.00 μB per formula unit. The space-group type is No. 44. For the raw total energy, the calculation gives -7.112 eV per atom.

Structure (POSCAR):
```
TcTeRu
1.0
4.770 0.001 0.003
2.067 4.299 -0.003
-3.062 -2.716 2.449
Te Ru Tc
1 1 1
Direct
0.667 0.667 0.000 Te
0.992 0.992 0.000 Ru
0.341 0.341 0.000 Tc
```



2.
Material: TcTe2Ru
Method: DFT, PBE-GGA
State: relaxed

Summary:
The calculation puts the size of the total moment at 0.46 μB per formula unit. The space-group type is No. 99. For the raw total energy, the calculation gives -6.342 eV per atom.

Structure (POSCAR):
```
TcTe2Ru
1.0
3.187 0.000 0.000
0.000 3.187 0.000
0.000 0.000 8.504
Tc Te Ru
1 2 1
Direct
0.500 0.500 0.734 Tc
0.000 0.000 0.911 Te
0.500 0.500 0.341 Te
0.000 0.000 0.514 Ru
```



3.
Material: TcTe2Ru
Method: DFT, PBE-GGA
State: relaxed

Summary:
The calculation puts the size of the total moment at 0.00 μB per formula unit. The space-group type is No. 25. For the raw total energy, the calculation gives -6.311 eV per atom.

Structure (POSCAR):
```
TcTe2Ru
1.0
-0.801 2.166 -2.038
0.751 -2.546 -3.001
-6.931 -2.333 0.245
Te Tc Ru
2 1 1
Direct
0.000 0.000 0.891 Te
0.500 0.500 0.360 Te
0.500 0.500 0.713 Tc
0.000 0.000 0.536 Ru
```



4.
Material: Tc2TeRu
Method: DFT, PBE-GGA
State: relaxed

Summary:
The calculation puts the size of the total moment at 0.00 μB per formula unit. The space-group type is No. 38. For the raw total energy, the calculation gives -7.914 eV per atom.

Structure (POSCAR):
```
Tc2TeRu
1.0
4.133 0.000 0.000
0.000 2.913 -0.078
0.000 1.598 5.313
Ru Te Tc
1 1 2
Direct
0.500 0.553 0.769 Ru
0.000 0.697 0.481 Te
0.000 0.939 0.997 Tc
0.500 0.311 0.253 Tc
```



5.
Material: Tc2TeRu
Method: DFT, PBE-GGA
State: relaxed

Summary:
The calculation puts the size of the total moment at 2.60 μB per formula unit. The space-group type is No. 123. For the raw total energy, the calculation gives -7.773 eV per atom.

Structure (POSCAR):
```
Tc2TeRu
1.0
4.240 0.000 0.000
0.000 3.898 0.000
0.000 0.000 3.898
Ru Tc Te
1 2 1
Direct
0.500 0.000 0.500 Ru
0.000 0.000 0.000 Tc
0.000 0.500 0.500 Tc
0.500 0.500 0.000 Te
```



6.
Material: TcTe2Ru
Method: DFT, PBE-GGA
State: relaxed

Summary:
The calculation puts the size of the total moment at 0.35 μB per formula unit. The space-group type is No. 216. For the raw total energy, the calculation gives -5.515 eV per atom.

Structure (POSCAR):
```
TcTe2Ru
1.0
-0.020 3.433 3.329
0.757 -1.114 4.588
4.083 1.288 2.131
Te Ru Tc
2 1 1
Direct
0.250 0.250 0.250 Te
0.000 0.000 0.000 Te
0.500 0.500 0.500 Ru
0.750 0.750 0.750 Tc
```



7.
Material: Tc2TeRu
Method: DFT, PBE-GGA
State: relaxed

Summary:
The calculation puts the size of the total moment at 0.00 μB per formula unit. The space-group type is No. 12. For the raw total energy, the calculation gives -7.942 eV per atom.

Structure (POSCAR):
```
Tc2TeRu
1.0
-3.453 -3.326 -1.081
-1.635 -3.085 -3.458
2.430 -3.713 1.482
Tc Te Ru
2 1 1
Direct
0.981 0.981 0.033 Tc
0.519 0.519 0.467 Tc
0.750 0.750 0.750 Te
0.250 0.250 0.250 Ru
```



8.
Material: TcTe2Ru
Method: DFT, PBE-GGA
State: relaxed

Summary:
The calculation puts the size of the total moment at 0.00 μB per formula unit. The space-group type is No. 166. For the raw total energy, the calculation gives -5.951 eV per atom.

Structure (POSCAR):
```
TcTe2Ru
1.0
1.896 0.000 8.856
-0.948 1.642 8.856
-0.948 -1.642 8.856
Tc Ru Te
1 1 2
Direct
0.500 0.500 0.500 Tc
0.000 0.000 0.000 Ru
0.094 0.094 0.094 Te
0.906 0.906 0.906 Te
```



9.
Material: TcTe2Ru
Method: DFT, PBE-GGA
State: relaxed

Summary:
The calculation puts the size of the total moment at 0.00 μB per formula unit. The space-group type is No. 166. For the raw total energy, the calculation gives -6.168 eV per atom.

Structure (POSCAR):
```
TcTe2Ru
1.0
8.257 0.000 0.000
7.608 3.208 0.000
7.608 1.539 2.815
Te Tc Ru
2 1 1
Direct
0.499 0.499 0.499 Te
0.001 0.001 0.001 Te
0.750 0.750 0.750 Tc
0.250 0.250 0.250 Ru
```



10.
Material: Tc2TeRu
Method: DFT, PBE-GGA
State: relaxed

Summary:
The calculation puts the size of the total moment at 0.00 μB per formula unit. The space-group type is No. 25. For the raw total energy, the calculation gives -7.891 eV per atom.

Structure (POSCAR):
```
Tc2TeRu
1.0
-1.516 0.048 -2.595
-2.024 -3.049 1.127
-3.879 3.436 2.330
Te Tc Ru
1 2 1
Direct
0.000 0.000 0.518 Te
0.000 0.000 0.027 Tc
0.500 0.500 0.210 Tc
0.500 0.500 0.746 Ru
```



11.
Material: TcTeRu3
Method: DFT, PBE-GGA
State: relaxed

Summary:
The calculation puts the size of the total moment at 4.99 μB per formula unit. The space-group type is No. 221. For the raw total energy, the calculation gives -6.367 eV per atom.

Structure (POSCAR):
```
TcTeRu3
1.0
-4.124 -1.057 2.109
2.350 -1.469 3.859
-0.207 4.393 1.798
Ru Tc Te
3 1 1
Direct
0.500 0.000 0.000 Ru
0.000 0.500 0.000 Ru
0.000 0.000 0.500 Ru
0.500 0.500 0.500 Tc
0.000 0.000 0.000 Te
```



12.
Material: Tc3TeRu
Method: DFT, PBE-GGA
State: relaxed

Summary:
The calculation puts the size of the total moment at 0.30 μB per formula unit. The space-group type is No. 221. For the raw total energy, the calculation gives -7.106 eV per atom.

Structure (POSCAR):
```
Tc3TeRu
1.0
4.685 0.000 0.000
0.000 4.685 0.000
0.000 0.000 4.685
Tc Ru Te
3 1 1
Direct
0.500 0.000 0.000 Tc
0.000 0.000 0.500 Tc
0.000 0.500 0.000 Tc
0.000 0.000 0.000 Ru
0.500 0.500 0.500 Te
```



13.
Material: TcTe2Ru
Method: DFT, PBE-GGA
State: relaxed

Summary:
The calculation puts the size of the total moment at 0.32 μB per formula unit. The space-group type is No. 12. For the raw total energy, the calculation gives -5.746 eV per atom.

Structure (POSCAR):
```
TcTe2Ru
1.0
6.081 0.890 -0.023
-0.773 6.097 -0.023
1.244 1.638 2.172
Te Tc Ru
2 1 1
Direct
0.000 0.000 0.000 Te
0.500 0.500 0.000 Te
0.000 0.500 0.500 Tc
0.500 0.000 0.500 Ru
```



14.
Material: Tc2TeRu
Method: DFT, PBE-GGA
State: relaxed

Summary:
The calculation puts the size of the total moment at 0.00 μB per formula unit. The space-group type is No. 71. For the raw total energy, the calculation gives -7.888 eV per atom.

Structure (POSCAR):
```
Tc2TeRu
1.0
-4.038 -1.135 3.314
-1.743 -5.046 0.280
4.161 3.300 0.608
Ru Tc Te
1 2 1
Direct
0.250 0.750 0.500 Ru
0.977 0.977 0.000 Tc
0.523 0.523 0.000 Tc
0.750 0.250 0.500 Te
```



15.
Material: TcTe2Ru
Method: DFT, PBE-GGA
State: relaxed

Summary:
The calculation puts the size of the total moment at 0.00 μB per formula unit. The space-group type is No. 160. For the raw total energy, the calculation gives -6.154 eV per atom.

Structure (POSCAR):
```
TcTe2Ru
1.0
10.220 -0.041 -0.024
9.737 3.104 -0.024
9.737 1.495 2.721
Te Ru Tc
2 1 1
Direct
0.026 0.026 0.026 Te
0.225 0.225 0.225 Te
0.493 0.493 0.493 Ru
0.756 0.756 0.756 Tc
```



16.
Material: Tc2TeRu
Method: DFT, PBE-GGA
State: relaxed

Summary:
The calculation puts the size of the total moment at 0.00 μB per formula unit. The space-group type is No. 99. For the raw total energy, the calculation gives -7.945 eV per atom.

Structure (POSCAR):
```
Tc2TeRu
1.0
3.005 0.000 0.000
0.000 3.005 0.000
0.000 0.000 7.147
Te Ru Tc
1 1 2
Direct
0.000 0.000 0.504 Te
0.500 0.500 0.756 Ru
0.500 0.500 0.235 Tc
0.000 0.000 0.005 Tc
```



17.
Material: Tc2TeRu
Method: DFT, PBE-GGA
State: relaxed

Summary:
The calculation puts the size of the total moment at 0.00 μB per formula unit. The space-group type is No. 160. For the raw total energy, the calculation gives -7.848 eV per atom.

Structure (POSCAR):
```
Tc2TeRu
1.0
8.799 0.010 0.006
8.298 2.926 0.006
8.298 1.425 2.555
Ru Tc Te
1 2 1
Direct
0.253 0.253 0.253 Ru
0.000 0.000 0.000 Tc
0.747 0.747 0.747 Tc
0.501 0.501 0.501 Te
```



18.
Material: Tc2TeRu
Method: DFT, PBE-GGA
State: relaxed

Summary:
The calculation puts the size of the total moment at 0.00 μB per formula unit. The space-group type is No. 139. For the raw total energy, the calculation gives -7.904 eV per atom.

Structure (POSCAR):
```
Tc2TeRu
1.0
4.893 0.007 0.000
1.693 4.591 0.000
-3.293 -2.299 2.796
Tc Ru Te
2 1 1
Direct
0.000 0.000 0.000 Tc
0.500 0.500 0.000 Tc
0.750 0.250 0.500 Ru
0.250 0.750 0.500 Te
```



19.
Material: Tc2TeRu
Method: DFT, PBE-GGA
State: relaxed

Summary:
The calculation puts the size of the total moment at 0.00 μB per formula unit. The space-group type is No. 123. For the raw total energy, the calculation gives -7.871 eV per atom.

Structure (POSCAR):
```
Tc2TeRu
1.0
-2.910 0.518 0.808
-0.950 -1.182 -2.663
-0.307 -6.166 2.847
Te Tc Ru
1 2 1
Direct
0.500 0.500 0.250 Te
0.000 0.000 0.002 Tc
0.000 0.000 0.498 Tc
0.500 0.500 0.750 Ru
```



20.
Material: Tc2TeRu
Method: DFT, PBE-GGA
State: relaxed

Summary:
The calculation puts the size of the total moment at 1.86 μB per formula unit. The space-group type is No. 216. For the raw total energy, the calculation gives -7.786 eV per atom.

Structure (POSCAR):
```
Tc2TeRu
1.0
-0.132 0.155 4.497
-1.033 -3.698 2.350
3.171 -2.088 2.418
Te Ru Tc
1 1 2
Direct
0.750 0.750 0.750 Te
0.500 0.500 0.500 Ru
0.250 0.250 0.250 Tc
0.000 0.000 0.000 Tc
```